[1]
8
Lattice="6.9117 0.0000 0.0000 0.0000 6.9117 0.0000 3.4558 3.4558 2.7354" Properties=species:S:1:pos:R:3 comment="HfCrRu2 (GGA-PBE, relaxed)" m_tot_mub_per_cell=0.00 final_energy_ev_per_fu=-37.2 space_group="No. 122" dos_at_fermi_per_ev_atom=0.69 formation_energy_ev_per_atom=0.237 pbc="T T T"
Ru 4.8283 1.7279 0.6838
Ru 2.0834 5.1838 0.6838
Ru 5.1838 5.5392 2.0515
Ru 8.6396 8.2842 2.0515
Hf 0.0000 0.0000 0.0000
Hf 6.9117 3.4558 1.3677
Cr 3.4558 3.4558 0.0000
Cr 3.4558 6.9117 1.3677



[2]
10
Lattice="3.6237 -1.1156 0.0000 -4.8459 10.0416 0.0000 0.0000 0.0000 10.5552" Properties=species:S:1:pos:R:3 comment="Sm3ErMg (GGA-PBE, relaxed)" m_tot_mub_per_cell=0.00 final_energy_ev_per_fu=-19.7 space_group="No. 59" dos_at_fermi_per_ev_atom=1.62 formation_energy_ev_per_atom=0.126 pbc="T T T"
Sm -2.6894 7.3825 5.3131
Sm 1.4672 1.5435 5.2421
Sm -2.6894 7.3825 10.5197
Sm 1.4672 1.5435 0.0355
Sm -1.3809 5.1804 7.9164
Sm 0.1586 3.7456 2.6388
Er -4.0752 9.3232 7.9164
Er 2.8529 -0.3972 2.6388
Mg -0.3174 2.1871 7.9164
Mg -0.9049 6.7389 2.6388